The following is a DFT calculation (PBE) of a relaxed MnInAg2Pb crystal.

Results
D(E_F) ... 1.82 states/eV per cell
Energy of formation from the pure elements ... 0.737 eV/atom
Space-group type ... P4/mmm (123)

a = 5.3503 Å, b = 5.3503 Å, c = 5.2356 Å
α = 90.00°, β = 90.00°, γ = 90.00°
Last column: nearest neighbours and their distance in Å.
Fractional positions:
Mn1 0.0000 0.0000 0.0000  2 Pb 2.62
In1 0.5000 0.5000 0.0000  8 Ag 3.74, 4 Mn 3.78
Ag1 0.0000 0.5000 0.5000  2 Pb 2.68
Ag2 0.5000 0.0000 0.5000  2 Pb 2.68
Pb1 0.0000 0.0000 0.5000  2 Mn 2.62, 4 Ag 2.68

The following is a DFT calculation (PBE) of a relaxed MnInAg2S4 crystal.

Results
D(E_F) ... 3.76 states/eV per cell
Space-group type ... I-4 (82)
Formation energy without anion corrections ... -0.362 eV/atom

a = 6.9265 Å, b = 6.9265 Å, c = 6.9265 Å
α = 130.70°, β = 130.70°, γ = 72.30°
Last column: nearest neighbours and their distance in Å.
Fractional positions:
Mn1 0.0000 0.0000 0.0000  4 S 2.32
In1 0.2500 0.7500 0.5000  4 S 2.50
Ag1 0.5000 0.5000 0.0000  4 S 2.56
Ag2 0.7500 0.2500 0.5000  4 S 2.54
S1 0.1171 0.6517 0.0057  1 Mn 2.32, 1 In 2.50, 2 Ag 2.54-2.56
S2 0.3483 0.3540 0.4654  1 Mn 2.32, 1 In 2.50, 2 Ag 2.54-2.56
S3 0.6460 0.1114 0.9943  1 Mn 2.32, 1 In 2.50, 2 Ag 2.54-2.56
S4 0.8886 0.8829 0.5346  1 Mn 2.32, 1 In 2.50, 2 Ag 2.54-2.56

The following is a DFT calculation (PBE) of a relaxed MnInAgSe2 crystal.

Results
D(E_F) ... 5.22 states/eV per cell
Space-group type ... P4/mmm (123)
Formation energy without anion corrections ... 0.223 eV/atom

a = 4.6088 Å, b = 4.6088 Å, c = 5.2991 Å
α = 90.00°, β = 90.00°, γ = 90.00°
Last column: nearest neighbours and their distance in Å.
Fractional positions:
Mn1 0.0000 0.0000 0.0000  4 Se 2.30
In1 0.5000 0.5000 0.5000  4 Ag 3.26, 8 Se 3.51
Ag1 0.0000 0.0000 0.5000  2 Mn 2.65
Se1 0.0000 0.5000 0.0000  2 Mn 2.30
Se2 0.5000 0.0000 0.0000  2 Mn 2.30